[1]
# CrTc5

A relaxed structure of CrTc5 (PBEsol, Alexandria).

Values from the calculation:
As for the density of states at the Fermi level: 1.233 states/eV/atom. As for the formation energy: 0.09 eV/atom. The space group is Cm. Its electronic total energy is -11.00 eV per atom.

Lattice parameters (Å, degrees): 2.705 5.103 6.330 104.23 90.00 105.37
Atoms (fractional coordinates):
Tc 0.338 0.676 0.674
Tc 0.665 0.330 0.329
Tc 0.391 0.782 0.270
Tc 0.717 0.435 0.945
Tc 0.056 0.112 0.612
Cr 0.999 0.999 0.003

=====

[2]
# B3TeSe

A relaxed structure of B3TeSe (PBEsol, Alexandria).

Values from the calculation:
For the energy relative to the elements, uncorrected, the calculation gives 2.138 eV/atom. As for the density of states at the Fermi level: 0.408 states/eV/atom. The space group is Pm-3m. Its electronic total energy is -3.55 eV per atom.

Lattice parameters (Å, degrees): 4.428 4.428 4.428 90.00 90.00 90.00
Atoms (fractional coordinates):
Te 0.000 0.000 0.000
Se 0.500 0.500 0.500
B 0.000 0.500 0.000
B 0.000 0.000 0.500
B 0.500 0.000 0.000

=====

[3]
# TaTc2Pt

A relaxed structure of TaTc2Pt (PBEsol, Alexandria).

Values from the calculation:
Its energy above the most stable polymorph in this dataset is 284.7 meV/atom. As for the density of states at the Fermi level: 1.102 states/eV/atom. As for the formation energy: -0.02 eV/atom. The space group is P4/mmm. Its electronic total energy is -10.54 eV per atom.

Lattice parameters (Å, degrees): 2.713 2.713 8.222 90.00 90.00 90.00
Atoms (fractional coordinates):
Pt 0.500 0.500 0.000
Ta 0.500 0.500 0.500
Tc 0.000 0.000 0.239
Tc 0.000 0.000 0.761

=====

[4]
# PbI2

A relaxed structure of PbI2 (PBEsol, Alexandria).

Values from the calculation:
For the energy relative to the elements, uncorrected, the calculation gives -0.601 eV/atom. As for the density of states at the Fermi level: 0.000 states/eV/atom. The space group is P3m1. Its electronic total energy is -3.11 eV per atom.

Lattice parameters (Å, degrees): 4.517 4.517 21.050 90.00 90.00 120.00
Atoms (fractional coordinates):
Pb 0.000 0.000 0.000
Pb 0.667 0.333 0.333
Pb 0.000 0.000 0.667
I 0.333 0.667 0.578
I 0.667 0.333 0.756
I 0.333 0.667 0.911
I 0.667 0.333 0.089
I 0.333 0.667 0.244
I 0.000 0.000 0.422

=====

[5]
# GeSbTe2Pb

A relaxed structure of GeSbTe2Pb (PBEsol, Alexandria).

Values from the calculation:
For the energy relative to the elements, uncorrected, the calculation gives 0.330 eV/atom. As for the density of states at the Fermi level: 0.712 states/eV/atom. The space group is P4/mmm. Its electronic total energy is -3.78 eV per atom.

Lattice parameters (Å, degrees): 5.234 5.405 5.405 90.00 90.00 90.00
Atoms (fractional coordinates):
Te 0.000 0.000 0.500
Te 0.000 0.500 0.000
Ge 0.000 0.000 0.000
Sb 0.500 0.000 0.000
Pb 0.500 0.500 0.500

=====

[6]
# ReAg2Se

A relaxed structure of ReAg2Se (PBEsol, Alexandria).

Values from the calculation:
For the energy relative to the elements, uncorrected, the calculation gives 0.307 eV/atom. As for the density of states at the Fermi level: 0.618 states/eV/atom. The space group is P4mm. Its electronic total energy is -5.64 eV per atom.

Lattice parameters (Å, degrees): 3.027 3.027 7.267 90.00 90.00 90.00
Atoms (fractional coordinates):
Ag 0.000 0.000 0.012
Ag 0.500 0.500 0.261
Re 0.000 0.000 0.522
Se 0.500 0.500 0.705

=====

[7]
# HfGePd

A relaxed structure of HfGePd (PBEsol, Alexandria).

Values from the calculation:
As for the density of states at the Fermi level: 0.242 states/eV/atom. As for the formation energy: -0.90 eV/atom. The space group is P2_1/m. Its electronic total energy is -8.03 eV per atom.

Lattice parameters (Å, degrees): 3.916 6.619 11.373 90.10 90.00 90.00
Atoms (fractional coordinates):
Pd 0.250 0.857 0.541
Pd 0.750 0.003 0.091
Pd 0.750 0.143 0.459
Pd 0.250 0.371 0.795
Pd 0.250 0.997 0.909
Pd 0.750 0.629 0.205
Hf 0.250 0.970 0.292
Hf 0.750 0.533 0.622
Hf 0.250 0.338 0.080
Hf 0.750 0.030 0.708
Hf 0.750 0.662 0.920
Hf 0.250 0.467 0.378
Ge 0.750 0.750 0.415
Ge 0.750 0.251 0.916
Ge 0.250 0.250 0.585
Ge 0.250 0.749 0.084
Ge 0.250 0.738 0.750
Ge 0.750 0.262 0.250

=====

[8]
# Cu2BrCl

A relaxed structure of Cu2BrCl (PBEsol, Alexandria).

Values from the calculation:
Its energy above the most stable polymorph in this dataset is 190.6 meV/atom. For the energy relative to the elements, uncorrected, the calculation gives -0.089 eV/atom. As for the density of states at the Fermi level: 0.061 states/eV/atom. The space group is Imm2. Its electronic total energy is -3.23 eV per atom.

Lattice parameters (Å, degrees): 3.439 3.410 6.949 104.21 104.33 90.00
Atoms (fractional coordinates):
Cu 0.942 0.942 0.884
Cu 0.800 0.300 0.600
Br 0.501 0.501 0.001
Cl 0.257 0.757 0.515

=====

[9]
# ZrZn2Pt

A relaxed structure of ZrZn2Pt (PBEsol, Alexandria).

Values from the calculation:
As for the density of states at the Fermi level: 0.482 states/eV/atom. As for the formation energy: -0.23 eV/atom. The space group is R3m. Its electronic total energy is -5.03 eV per atom.

Lattice parameters (Å, degrees): 2.905 2.905 9.021 80.73 80.73 60.00
Atoms (fractional coordinates):
Zn 0.744 0.744 0.767
Zn 0.999 0.999 0.002
Zr 0.501 0.501 0.496
Pt 0.255 0.255 0.235

=====

[10]
# BeCd2Si

A relaxed structure of BeCd2Si (PBEsol, Alexandria).

Values from the calculation:
Its energy above the most stable polymorph in this dataset is 81.1 meV/atom. For the energy relative to the elements, uncorrected, the calculation gives 0.338 eV/atom. As for the density of states at the Fermi level: 0.370 states/eV/atom. The space group is Pmm2. Its electronic total energy is -2.70 eV per atom.

Lattice parameters (Å, degrees): 2.685 3.528 7.205 90.00 90.00 90.00
Atoms (fractional coordinates):
Be 0.500 0.500 0.699
Si 0.000 0.000 0.566
Cd 0.000 0.000 0.963
Cd 0.500 0.500 0.272

=====

[11]
# LiZr2Ir

A relaxed structure of LiZr2Ir (PBEsol, Alexandria).

Values from the calculation:
Its energy above the most stable polymorph in this dataset is 0.0 meV/atom. As for the density of states at the Fermi level: 0.451 states/eV/atom. As for the formation energy: -0.46 eV/atom. The space group is Fm-3m. Its electronic total energy is -7.96 eV per atom.

Lattice parameters (Å, degrees): 4.617 4.617 4.617 60.00 60.00 60.00
Atoms (fractional coordinates):
Zr 0.750 0.750 0.750
Zr 0.250 0.250 0.250
Li 0.500 0.500 0.500
Ir 0.000 0.000 0.000

=====

[12]
# Li2InW

A relaxed structure of Li2InW (PBEsol, Alexandria).

Values from the calculation:
As for the density of states at the Fermi level: 1.039 states/eV/atom. As for the formation energy: 0.94 eV/atom. The space group is I-42d. Its electronic total energy is -4.24 eV per atom.

Lattice parameters (Å, degrees): 5.439 5.613 5.613 76.42 61.02 61.02
Atoms (fractional coordinates):
Li 0.875 0.992 0.508
Li 0.375 0.008 0.492
Li 0.617 0.508 0.008
Li 0.133 0.492 0.992
In 0.500 0.000 0.000
In 0.250 0.500 0.500
W 0.000 0.000 0.000
W 0.750 0.500 0.500

=====

[13]
# Ce4Y2O11

A relaxed structure of Ce4Y2O11 (PBEsol, Alexandria).

Values from the calculation:
For the energy relative to the elements, uncorrected, the calculation gives -3.467 eV/atom. As for the density of states at the Fermi level: 0.000 states/eV/atom. The space group is P-4m2. Its electronic total energy is -9.22 eV per atom.

Lattice parameters (Å, degrees): 3.809 3.809 16.085 90.00 90.00 90.00
Atoms (fractional coordinates):
O 0.000 0.000 0.328
O 0.500 0.500 0.172
O 0.500 0.500 0.665
O 0.500 0.500 0.335
O 0.000 0.000 0.672
O 0.000 0.000 0.153
O 0.500 0.500 0.828
O 0.500 0.500 0.000
O 0.500 0.500 0.500
O 0.000 0.000 0.847
O 0.000 0.000 0.500
Ce 0.000 0.500 0.752
Ce 0.500 0.000 0.584
Ce 0.000 0.500 0.416
Ce 0.500 0.000 0.248
Y 0.000 0.500 0.092
Y 0.500 0.000 0.908

=====

[14]
# BAsO2F

A relaxed structure of BAsO2F (PBEsol, Alexandria).

Values from the calculation:
For the energy relative to the elements, uncorrected, the calculation gives -0.007 eV/atom. As for the density of states at the Fermi level: 0.094 states/eV/atom. The space group is P4/mmm. Its electronic total energy is -4.92 eV per atom.

Lattice parameters (Å, degrees): 3.794 3.794 4.038 90.00 90.00 90.00
Atoms (fractional coordinates):
O 0.500 0.000 0.000
O 0.000 0.500 0.000
B 0.500 0.500 0.500
As 0.000 0.000 0.000
F 0.000 0.000 0.500

=====

[15]
# YAlCr2

A relaxed structure of YAlCr2 (PBEsol, Alexandria).

Values from the calculation:
As for the density of states at the Fermi level: 0.722 states/eV/atom. As for the formation energy: 0.49 eV/atom. The space group is P2/m. Its electronic total energy is -7.36 eV per atom.

Lattice parameters (Å, degrees): 2.928 4.150 5.875 90.00 104.76 90.00
Atoms (fractional coordinates):
Cr 0.096 0.000 0.304
Cr 0.904 0.000 0.696
Y 0.500 0.500 0.000
Al 0.500 0.500 0.500

=====

[16]
# HgRh2Se

A relaxed structure of HgRh2Se (PBEsol, Alexandria).

Values from the calculation:
For the energy relative to the elements, uncorrected, the calculation gives 0.009 eV/atom. As for the density of states at the Fermi level: 0.772 states/eV/atom. The space group is R-3m. Its electronic total energy is -5.16 eV per atom.

Lattice parameters (Å, degrees): 3.087 3.087 8.043 78.94 78.94 60.00
Atoms (fractional coordinates):
Rh 0.240 0.240 0.279
Rh 0.760 0.760 0.721
Hg 0.000 0.000 0.000
Se 0.500 0.500 0.500

=====

[17]
# TcTe2As

A relaxed structure of TcTe2As (PBEsol, Alexandria).

Values from the calculation:
For the energy relative to the elements, uncorrected, the calculation gives 0.038 eV/atom. As for the density of states at the Fermi level: 0.746 states/eV/atom. The space group is Cm. Its electronic total energy is -5.82 eV per atom.

Lattice parameters (Å, degrees): 3.246 4.589 7.325 106.05 90.00 110.71
Atoms (fractional coordinates):
Te 0.897 0.795 0.946
Te 0.705 0.410 0.306
As 0.588 0.175 0.611
Tc 0.310 0.621 0.637

=====

[18]
# Dy2C3

A relaxed structure of Dy2C3 (PBEsol, Alexandria).

Values from the calculation:
As for the density of states at the Fermi level: 0.264 states/eV/atom. As for the formation energy: -0.32 eV/atom. The space group is I-43d. Its electronic total energy is -8.10 eV per atom.

Lattice parameters (Å, degrees): 7.036 7.036 7.036 109.47 109.47 109.47
Atoms (fractional coordinates):
C 0.042 0.792 0.250
C 0.292 0.542 0.750
C 0.208 0.958 0.250
C 0.750 0.042 0.292
C 0.250 0.292 0.042
C 0.708 0.250 0.958
C 0.750 0.208 0.458
C 0.458 0.708 0.750
C 0.542 0.250 0.792
C 0.958 0.750 0.708
C 0.250 0.458 0.208
C 0.792 0.750 0.542
Dy 0.500 0.899 0.500
Dy 0.601 0.601 0.101
Dy 0.000 0.500 0.899
Dy 0.101 0.101 0.601
Dy 0.399 0.000 0.000
Dy 0.000 0.500 0.399
Dy 0.500 0.399 0.500
Dy 0.899 0.000 0.000

=====

[19]
# MnPRh3

A relaxed structure of MnPRh3 (PBEsol, Alexandria).

Values from the calculation:
As for the density of states at the Fermi level: 0.247 states/eV/atom. As for the formation energy: 0.07 eV/atom. The space group is Pm-3m. Its electronic total energy is -7.93 eV per atom.

Lattice parameters (Å, degrees): 4.289 4.289 4.289 90.00 90.00 90.00
Atoms (fractional coordinates):
Rh 0.000 0.500 0.000
Rh 0.000 0.000 0.500
Rh 0.500 0.000 0.000
Mn 0.500 0.500 0.500
P 0.000 0.000 0.000

=====

[20]
# Sr2ZrBeCr

A relaxed structure of Sr2ZrBeCr (PBEsol, Alexandria).

Values from the calculation:
As for the density of states at the Fermi level: 0.941 states/eV/atom. As for the formation energy: 1.45 eV/atom. The space group is P4/mmm. Its electronic total energy is -3.95 eV per atom.

Lattice parameters (Å, degrees): 4.421 6.076 6.076 90.00 90.00 90.00
Atoms (fractional coordinates):
Be 0.500 0.500 0.500
Zr 0.000 0.000 0.000
Sr 0.000 0.000 0.500
Sr 0.000 0.500 0.000
Cr 0.500 0.000 0.000

=====

[21]
# CaCoOs2

A relaxed structure of CaCoOs2 (PBEsol, Alexandria).

Values from the calculation:
Its energy above the most stable polymorph in this dataset is 431.7 meV/atom. As for the density of states at the Fermi level: 1.505 states/eV/atom. As for the formation energy: 0.78 eV/atom. The space group is P4/mmm. Its electronic total energy is -7.80 eV per atom.

Lattice parameters (Å, degrees): 3.717 3.717 4.358 90.00 90.00 90.00
Atoms (fractional coordinates):
Os 0.000 0.500 0.000
Os 0.500 0.000 0.000
Co 0.000 0.000 0.500
Ca 0.500 0.500 0.500

=====

[22]
# Li2YOs

A relaxed structure of Li2YOs (PBEsol, Alexandria).

Values from the calculation:
Its energy above the most stable polymorph in this dataset is 0.0 meV/atom. As for the density of states at the Fermi level: 0.390 states/eV/atom. As for the formation energy: 0.28 eV/atom. The space group is Imm2. Its electronic total energy is -5.47 eV per atom.

Lattice parameters (Å, degrees): 3.727 4.550 4.908 117.62 112.32 90.00
Atoms (fractional coordinates):
Li 0.256 0.756 0.512
Li 0.978 0.978 0.955
Y 0.746 0.246 0.493
Os 0.520 0.520 0.040

=====

[23]
# RbAgH2

A relaxed structure of RbAgH2 (PBEsol, Alexandria).

Values from the calculation:
Its energy above the most stable polymorph in this dataset is 768.6 meV/atom. As for the density of states at the Fermi level: 0.428 states/eV/atom. The space group is Fm-3m. Its electronic total energy is -2.05 eV per atom.

Lattice parameters (Å, degrees): 4.582 4.582 4.582 60.00 60.00 60.00
Atoms (fractional coordinates):
H 0.750 0.750 0.750
H 0.250 0.250 0.250
Ag 0.500 0.500 0.500
Rb 0.000 0.000 0.000

=====

[24]
# Nd2Ni7P4

A relaxed structure of Nd2Ni7P4 (PBEsol, Alexandria).

Values from the calculation:
As for the density of states at the Fermi level: 0.609 states/eV/atom. As for the formation energy: -0.92 eV/atom. The space group is Pmn2_1. Its electronic total energy is -6.81 eV per atom.

Lattice parameters (Å, degrees): 3.711 9.124 10.308 90.00 90.00 90.00
Atoms (fractional coordinates):
P 0.500 0.184 0.788
P 0.000 0.524 0.718
P 0.500 0.843 0.590
P 0.500 0.476 0.218
P 0.000 0.186 0.470
P 0.000 0.157 0.090
P 0.500 0.814 0.970
P 0.000 0.816 0.288
Ni 0.500 0.725 0.171
Ni 0.000 0.695 0.574
Ni 0.000 0.903 0.084
Ni 0.000 0.317 0.262
Ni 0.500 0.097 0.584
Ni 0.500 0.683 0.762
Ni 0.000 0.582 0.306
Ni 0.500 0.061 0.979
Ni 0.000 0.275 0.671
Ni 0.500 0.305 0.074
Ni 0.000 0.939 0.479
Ni 0.500 0.418 0.806
Ni 0.500 0.745 0.403
Ni 0.000 0.255 0.903
Nd 0.500 0.059 0.282
Nd 0.500 0.437 0.501
Nd 0.000 0.563 0.001
Nd 0.000 0.941 0.782

=====

[25]
# CrPdSe2

A relaxed structure of CrPdSe2 (PBEsol, Alexandria).

Values from the calculation:
For the energy relative to the elements, uncorrected, the calculation gives -0.195 eV/atom. As for the density of states at the Fermi level: 0.651 states/eV/atom. The space group is R-3m. Its electronic total energy is -6.17 eV per atom.

Lattice parameters (Å, degrees): 3.357 3.357 7.942 77.80 77.80 60.00
Atoms (fractional coordinates):
Se 0.103 0.103 0.691
Se 0.897 0.897 0.309
Pd 0.000 0.000 0.000
Cr 0.500 0.500 0.500

=====

[26]
# NaBr

A relaxed structure of NaBr (PBEsol, Alexandria).

Values from the calculation:
For the energy relative to the elements, uncorrected, the calculation gives -1.553 eV/atom. As for the density of states at the Fermi level: 0.000 states/eV/atom. The space group is Fm-3m. Its electronic total energy is -3.19 eV per atom.

Lattice parameters (Å, degrees): 4.189 4.189 4.189 60.00 60.00 60.00
Atoms (fractional coordinates):
Br 0.500 0.500 0.500
Na 0.000 0.000 0.000